[1]
## Sm2TmPb (PBE)

Data for an optimized crystal structure of Sm2TmPb.

```
Sm2TmPb
1.0
-2.9547 -1.7985 0.8394
-1.2520 -2.4957 -2.2076
5.3167 -9.8213 5.2183
Pb Tm Sm
1 1 2
direct
0.0000 0.0000 0.0000 Pb
0.5000 0.5000 0.5000 Tm
0.0887 0.0887 0.7340 Sm
0.9113 0.9113 0.2660 Sm
```

energy of formation: 0.15 eV per formula unit
crystal system: trigonal
total energy: -17.5 eV per cell
mass density: 8.428 g/cm³
space-group type: R-3m, No. 166

[2]
## SmTm5Pb6 (PBE)

Data for an optimized crystal structure of SmTm5Pb6.

```
SmTm5Pb6
1.0
5.6428 0.6801 0.0155
3.6638 8.7658 0.0104
-0.0204 0.0006 7.1022
Pb Tm Sm
6 5 1
direct
0.8293 0.3370 0.2525 Pb
0.8294 0.3369 0.7475 Pb
0.5000 0.0000 0.7446 Pb
0.5000 0.0000 0.2554 Pb
0.1706 0.6631 0.2525 Pb
0.1707 0.6630 0.7475 Pb
0.6647 0.6675 0.5000 Tm
0.3281 0.3322 0.0000 Tm
0.0000 0.0000 0.5000 Tm
0.6719 0.6678 0.0000 Tm
0.3353 0.3325 0.5000 Tm
0.0000 0.0000 0.0000 Sm
```

energy of formation: -4.60 eV per formula unit
crystal system: monoclinic
total energy: -53.9 eV per cell
mass density: 11.141 g/cm³
space-group type: P2/m, No. 10

[3]
## Sm3Tm5Pb2 (PBE)

Data for an optimized crystal structure of Sm3Tm5Pb2.

```
Sm3Tm5Pb2
1.0
-1.5931 -5.9373 -1.6343
8.0099 -6.3398 2.8456
-6.8141 -3.5858 7.2911
Sm Tm Pb
6 10 4
direct
0.2500 0.0000 0.0000 Sm
0.7500 0.0000 0.0000 Sm
0.3768 0.3487 0.8976 Sm
0.6232 0.6513 0.1024 Sm
0.8768 0.8976 0.3487 Sm
0.1232 0.1024 0.6513 Sm
0.2500 0.5000 0.5000 Tm
0.7500 0.5000 0.5000 Tm
0.5034 0.7466 0.7466 Tm
0.9966 0.2534 0.2534 Tm
0.4966 0.2534 0.2534 Tm
0.0034 0.7466 0.7466 Tm
0.1050 0.5570 0.2330 Tm
0.8950 0.4430 0.7670 Tm
0.6050 0.2330 0.5570 Tm
0.3950 0.7670 0.4430 Tm
0.1425 0.7079 0.0070 Pb
0.8575 0.2921 0.9930 Pb
0.6425 0.0070 0.7079 Pb
0.3575 0.9930 0.2921 Pb
```

energy of formation: 0.13 eV per formula unit
crystal system: orthorhombic
total energy: -87.6 eV per cell
mass density: 8.919 g/cm³
space-group type: Ibam, No. 72